First-principles (PBE) data for Li2BeCu after structural relaxation, as listed in Alexandria via LeMat-Bulk.

DOS(E_F) in states/eV/cell: 1.84
ΔH_f (0 K) in kJ per mole of atoms: 11.70
Space group: No. 123
Calculated volume in Å³ per cell: 47.62

a = 4.1269 Å, b = 3.3969 Å, c = 3.3969 Å
α = 90.00°, β = 90.00°, γ = 90.00°
Closest atoms and distances in Å follow each position.
Atoms (fractional coordinates):
1 Be 0.5000 0.5000 0.0000  4 Cu 2.40, 8 Li 2.67
2 Li 0.0000 0.5000 0.5000  4 Li 2.40, 4 Be 2.67, 4 Cu 2.67
3 Cu 0.5000 0.0000 0.5000  4 Be 2.40, 8 Li 2.67
4 Li 0.0000 0.0000 0.0000  4 Li 2.40, 4 Be 2.67, 4 Cu 2.67